This record from the Alexandria database describes a relaxed structure of Zn3Ni4Au. The functional is GGA-PBE.

The structure in CIF format:
```
data_Zn3Ni4Au
_space_group_name_H-M_alt 'P m m a'
_space_group_IT_number 51
_space_group_name_Hall '-P 2a 2a'
_cell_length_a 8.480
_cell_length_b 5.500
_cell_length_c 4.383
_cell_angle_alpha 90.00
_cell_angle_beta 90.00
_cell_angle_gamma 90.00
loop_
_atom_site_label
_atom_site_type_symbol
_atom_site_fract_x
_atom_site_fract_y
_atom_site_fract_z
Zn1 Zn 0.000 0.000 0.000
Zn2 Zn 0.250 0.000 0.385
Zn3 Zn 0.250 0.500 0.395
Ni1 Ni 0.000 0.236 0.500
Ni2 Ni 0.250 0.238 0.871
Au1 Au 0.000 0.500 0.000
```

Calculated values
The value obtained for the formation energy is -158 meV/atom. The calculation puts the total DFT energy (no corrections) at -3.936 eV/atom.

***

This record from the Alexandria database describes a relaxed structure of Y2Mn2C3. The functional is GGA-PBE.

The structure in CIF format:
```
data_Y2Mn2C3
_space_group_name_H-M_alt 'C 1 2/m 1'
_space_group_IT_number 12
_space_group_name_Hall '-C 2y'
_cell_length_a 10.165
_cell_length_b 3.403
_cell_length_c 5.519
_cell_angle_alpha 90.00
_cell_angle_beta 105.13
_cell_angle_gamma 90.00
loop_
_atom_site_label
_atom_site_type_symbol
_atom_site_fract_x
_atom_site_fract_y
_atom_site_fract_z
Y1 Y 0.106 0.000 0.316
Mn1 Mn 0.157 0.500 0.894
C1 C 0.000 0.500 0.000
C2 C 0.209 0.000 0.776
```

Calculated values
The value obtained for the formation energy is -316 meV/atom. The calculation puts the total DFT energy (no corrections) at -8.736 eV/atom. The energy relative to the lowest polymorph listed for this composition is 0 meV per atom.